# PBE-GGA Ce5Tl2H, relaxed
data_Ce5Tl2H
_chemical_formula_sum 'Ce10 Tl4 H2'
_cell_length_a 6.930
_cell_length_b 6.930
_cell_length_c 9.051
_cell_angle_alpha 90.00
_cell_angle_beta 90.00
_cell_angle_gamma 90.00
_space_group_name_H-M_alt 'I 4 m m'
_space_group_IT_number 107
_space_group_name_Hall 'I 4 -2'
loop_
_atom_site_label
_atom_site_type_symbol
_atom_site_fract_x
_atom_site_fract_y
_atom_site_fract_z
Ce1 Ce 0.000 0.000 0.000
Ce2 Ce 0.247 0.247 0.252
Tl1 Tl 0.000 0.500 0.002
H1 H 0.000 0.000 0.743
# Volume: 27.2 A^3/atom
# Final energy: -76.487 eV/cell
# Total magnetic moment: 5.3 μB/f.u.
# Crystal system: tetragonal